# 1
{
  "formula": "Hf2CdAg",
  "functional": "PBE",
  "state": "optimized geometry",
  "m_tot_mub_per_cell": 0.000,
  "formation_energy_kj_per_mol_fu": -44,
  "dft_energy_ev_per_atom": -6.032,
  "space_group": "P4mm (99)",
  "cell": [[-2.4401, -1.5112, 1.3933], [1.7055, -2.6956, 0.0633], [2.9472, 2.0377, 7.3716]],
  "species": ["Ag", "Hf", "Hf", "Cd"],
  "frac_coords": [[0.5000, 0.5000, 0.7494], [0.5000, 0.5000, 0.2425], [0.0000, 0.0000, 0.9910], [0.0000, 0.0000, 0.5171]]
}

# 2
{
  "formula": "Pr6ErTm8",
  "functional": "PBE",
  "state": "optimized geometry",
  "m_tot_mub_per_cell": 0.003,
  "formation_energy_kj_per_mol_fu": 176,
  "dft_energy_ev_per_atom": -4.479,
  "space_group": "R-3 (148)",
  "cell": [[7.8344, 0.1606, 3.8458], [2.4634, 7.4388, 3.8458], [0.2177, 0.1606, 8.7247]],
  "species": ["Tm", "Tm", "Tm", "Tm", "Pr", "Pr", "Pr", "Tm", "Tm", "Tm", "Pr", "Pr", "Tm", "Er", "Pr"],
  "frac_coords": [[0.2867, 0.2465, 0.8876], [0.2465, 0.8876, 0.2867], [0.1124, 0.7133, 0.7535], [0.4233, 0.4233, 0.4233], [0.9008, 0.4624, 0.7730], [0.7730, 0.9008, 0.4624], [0.5376, 0.2270, 0.0992], [0.7535, 0.1124, 0.7133], [0.8876, 0.2867, 0.2465], [0.5767, 0.5767, 0.5767], [0.4624, 0.7730, 0.9008], [0.0992, 0.5376, 0.2270], [0.7133, 0.7535, 0.1124], [0.0000, 0.0000, 0.0000], [0.2270, 0.0992, 0.5376]]
}